No. 1
First-principles (PBE-GGA) data for crystalline CeSi3B at its relaxed geometry, as listed in Alexandria.

DFT total energy   -29.69 eV per formula unit
Magnetization   0.000 μB per cell
Energy relative to the elements, uncorrected   -0.1622 eV per atom

a = 5.8827 Å, b = 4.1753 Å, c = 6.5952 Å
α = 90.00°, β = 93.56°, γ = 90.00°
Fractional positions:
Ce 0.1430 0.0000 0.2369
Ce 0.8570 0.5000 0.7631
Si 0.2041 0.9919 0.7456
Si 0.3582 0.4879 0.6035
Si 0.3920 0.5024 0.0084
Si 0.6080 0.0024 0.9916
Si 0.6418 0.9879 0.3965
Si 0.7959 0.4919 0.2544
B 0.4602 0.5196 0.3195
B 0.5398 0.0196 0.6805

***

No. 2
First-principles (PBE-GGA) data for crystalline CeSiB2 at its relaxed geometry, as listed in Alexandria.

DFT total energy   -24.94 eV per formula unit
Magnetization   0.000 μB per cell
Energy relative to the elements, uncorrected   -0.0563 eV per atom

a = 3.6189 Å, b = 3.6189 Å, c = 13.9508 Å
α = 90.00°, β = 90.00°, γ = 120.00°
Fractional positions:
Ce 0.0000 0.0000 0.0000
Ce 0.3333 0.6667 0.6667
Ce 0.6667 0.3333 0.3333
Si 0.0000 0.0000 0.5000
Si 0.3333 0.6667 0.1667
Si 0.6667 0.3333 0.8333
B 0.0000 0.0000 0.2029
B 0.0000 0.0000 0.7971
B 0.3333 0.6667 0.4638
B 0.3333 0.6667 0.8695
B 0.6667 0.3333 0.1305
B 0.6667 0.3333 0.5362

***

No. 3
First-principles (PBE-GGA) data for crystalline Ce4Si5B2 at its relaxed geometry, as listed in Alexandria.

DFT total energy   -70.41 eV per formula unit
Magnetization   0.001 μB per cell
Energy relative to the elements, uncorrected   -0.5645 eV per atom

a = 6.3373 Å, b = 4.3915 Å, c = 7.2136 Å
α = 90.00°, β = 91.33°, γ = 90.00°
Fractional positions:
Ce 0.2257 0.0000 0.1333
Ce 0.2501 0.0000 0.6169
Ce 0.7499 0.0000 0.3831
Ce 0.7743 0.0000 0.8667
Si 0.1045 0.5000 0.8607
Si 0.3981 0.5000 0.3583
Si 0.5000 0.5000 0.0000
Si 0.6019 0.5000 0.6417
Si 0.8955 0.5000 0.1393
B 0.0686 0.5000 0.3963
B 0.9314 0.5000 0.6037

***

No. 4
First-principles (PBE-GGA) data for crystalline Ce2Si3B at its relaxed geometry, as listed in Alexandria.

Energy above the lowest structure with this stoichiometry   0 meV per atom
DFT total energy   -38.56 eV per formula unit
Magnetization   0.000 μB per cell
Energy relative to the elements, uncorrected   -0.6248 eV per atom

a = 7.8585 Å, b = 7.6028 Å, c = 5.7294 Å
α = 70.65°, β = 65.89°, γ = 43.46°
Fractional positions:
Ce 0.2476 0.7524 0.2476
Ce 0.2500 0.2500 0.2500
Ce 0.7500 0.7500 0.7500
Ce 0.7524 0.2476 0.7524
Si 0.1783 0.1783 0.8217
Si 0.1798 0.6417 0.8202
Si 0.3583 0.8202 0.6417
Si 0.6417 0.1798 0.3583
Si 0.8202 0.3583 0.1798
Si 0.8217 0.8217 0.1783
B 0.3328 0.3328 0.6672
B 0.6672 0.6672 0.3328

***

No. 5
First-principles (PBE-GGA) data for crystalline Ce2SmB9 at its relaxed geometry, as listed in Alexandria.

Formation energy   -0.1768 eV/atom
DFT total energy   -78.81 eV per formula unit
Magnetization   0.000 μB per cell

a = 9.8183 Å, b = 9.8183 Å, c = 9.8183 Å
α = 26.18°, β = 26.18°, γ = 26.18°
Fractional positions:
Ce 0.1187 0.1187 0.1187
Ce 0.8813 0.8813 0.8813
Sm 0.0000 0.0000 0.0000
B 0.0264 0.3908 0.3908
B 0.3908 0.0264 0.3908
B 0.3908 0.3908 0.0264
B 0.4058 0.4058 0.4058
B 0.5000 0.5000 0.5000
B 0.5942 0.5942 0.5942
B 0.6092 0.6092 0.9736
B 0.6092 0.9736 0.6092
B 0.9736 0.6092 0.6092

***

No. 6
First-principles (PBE-GGA) data for crystalline CeSmB4 at its relaxed geometry, as listed in Alexandria.

Formation energy   0.2853 eV/atom
DFT total energy   -35.65 eV per formula unit
Magnetization   0.000 μB per cell

a = 4.8524 Å, b = 4.8524 Å, c = 4.8524 Å
α = 60.00°, β = 60.00°, γ = 60.00°
Fractional positions:
Ce 0.0000 0.0000 0.0000
Sm 0.2500 0.2500 0.2500
B 0.0218 0.6594 0.6594
B 0.6594 0.0218 0.6594
B 0.6594 0.6594 0.0218
B 0.6594 0.6594 0.6594

***

No. 7
First-principles (PBE-GGA) data for crystalline CeSmB12 at its relaxed geometry, as listed in Alexandria.

Formation energy   -0.4845 eV/atom
Energy above the lowest structure with this stoichiometry   3 meV per atom
DFT total energy   -97.57 eV per formula unit
Magnetization   0.914 μB per cell

a = 4.1185 Å, b = 4.1185 Å, c = 8.2405 Å
α = 90.00°, β = 90.00°, γ = 90.00°
Fractional positions:
Ce 0.0000 0.0000 0.0000
Sm 0.0000 0.0000 0.5000
B 0.1990 0.5000 0.2503
B 0.1990 0.5000 0.7497
B 0.5000 0.1990 0.2503
B 0.5000 0.1990 0.7497
B 0.5000 0.5000 0.0996
B 0.5000 0.5000 0.4007
B 0.5000 0.5000 0.5993
B 0.5000 0.5000 0.9004
B 0.5000 0.8010 0.2503
B 0.5000 0.8010 0.7497
B 0.8010 0.5000 0.2503
B 0.8010 0.5000 0.7497

***

No. 8
First-principles (PBE-GGA) data for crystalline CeSmB12 at its relaxed geometry, as listed in Alexandria.

Formation energy   -0.4875 eV/atom
Energy above the lowest structure with this stoichiometry   0 meV per atom
DFT total energy   -97.61 eV per formula unit
Magnetization   0.605 μB per cell

a = 5.8237 Å, b = 5.8237 Å, c = 4.1175 Å
α = 90.00°, β = 90.00°, γ = 90.00°
Fractional positions:
Ce 0.0000 0.0000 0.0000
Sm 0.5000 0.5000 0.0000
B 0.0000 0.5000 0.1991
B 0.0000 0.5000 0.8009
B 0.1500 0.3489 0.5000
B 0.1500 0.6511 0.5000
B 0.3489 0.1500 0.5000
B 0.3489 0.8500 0.5000
B 0.5000 0.0000 0.1991
B 0.5000 0.0000 0.8009
B 0.6511 0.1500 0.5000
B 0.6511 0.8500 0.5000
B 0.8500 0.3489 0.5000
B 0.8500 0.6511 0.5000

***

No. 9
First-principles (PBE-GGA) data for crystalline CeSnB at its relaxed geometry, as listed in Alexandria.

Formation energy   0.3010 eV/atom
DFT total energy   -15.71 eV per formula unit
Magnetization   3.076 μB per cell

a = 3.8385 Å, b = 3.8385 Å, c = 20.8383 Å
α = 90.00°, β = 90.00°, γ = 90.00°
Fractional positions:
Ce 0.0000 0.0000 0.1117
Ce 0.0000 0.0000 0.8883
Ce 0.5000 0.5000 0.3883
Ce 0.5000 0.5000 0.6117
Sn 0.0000 0.0000 0.2822
Sn 0.0000 0.0000 0.7178
Sn 0.5000 0.5000 0.2178
Sn 0.5000 0.5000 0.7822
B 0.0000 0.0000 0.3882
B 0.0000 0.0000 0.6118
B 0.5000 0.5000 0.1118
B 0.5000 0.5000 0.8882

***

No. 10
First-principles (PBE-GGA) data for crystalline SrCeB12 at its relaxed geometry, as listed in Alexandria.

Formation energy   -0.4801 eV/atom
DFT total energy   -94.47 eV per formula unit
Magnetization   0.950 μB per cell

a = 4.1534 Å, b = 4.1534 Å, c = 8.3220 Å
α = 90.00°, β = 90.00°, γ = 90.00°
Fractional positions:
Sr 0.0000 0.0000 0.0000
Ce 0.0000 0.0000 0.5000
B 0.2005 0.5000 0.2523
B 0.2005 0.5000 0.7477
B 0.5000 0.2005 0.2523
B 0.5000 0.2005 0.7477
B 0.5000 0.5000 0.1015
B 0.5000 0.5000 0.4010
B 0.5000 0.5000 0.5990
B 0.5000 0.5000 0.8985
B 0.5000 0.7995 0.2523
B 0.5000 0.7995 0.7477
B 0.7995 0.5000 0.2523
B 0.7995 0.5000 0.7477

***

No. 11
First-principles (PBE-GGA) data for crystalline Ce2TaB10 at its relaxed geometry, as listed in Alexandria.

Formation energy   -0.3791 eV/atom
DFT total energy   -95.42 eV per formula unit
Magnetization   1.629 μB per cell

a = 5.8768 Å, b = 11.7125 Å, c = 4.1471 Å
α = 90.00°, β = 90.00°, γ = 90.00°
Fractional positions:
Ce 0.2084 0.1416 0.0000
Ce 0.2916 0.6416 0.0000
Ce 0.7084 0.3584 0.0000
Ce 0.7916 0.8584 0.0000
Ta 0.0000 0.5000 0.5000
Ta 0.5000 0.0000 0.5000
B 0.0808 0.3036 0.5000
B 0.1107 0.9551 0.5000
B 0.1143 0.8010 0.5000
B 0.2404 0.3772 0.2004
B 0.2404 0.3772 0.7996
B 0.2596 0.8772 0.2004
B 0.2596 0.8772 0.7996
B 0.3857 0.3010 0.5000
B 0.3893 0.4551 0.5000
B 0.4192 0.8036 0.5000
B 0.5808 0.1964 0.5000
B 0.6107 0.5449 0.5000
B 0.6143 0.6990 0.5000
B 0.7404 0.1228 0.2004
B 0.7404 0.1228 0.7996
B 0.7596 0.6228 0.2004
B 0.7596 0.6228 0.7996
B 0.8857 0.1990 0.5000
B 0.8893 0.0449 0.5000
B 0.9192 0.6964 0.5000

***

No. 12
First-principles (PBE-GGA) data for crystalline TbCeB at its relaxed geometry, as listed in Alexandria.

Formation energy   -0.0887 eV/atom
DFT total energy   -17.51 eV per formula unit
Magnetization   0.001 μB per cell

a = 11.9700 Å, b = 3.6968 Å, c = 7.7189 Å
α = 90.00°, β = 129.86°, γ = 90.00°
Fractional positions:
Tb 0.0838 0.0000 0.3733
Tb 0.4162 0.5000 0.6267
Tb 0.5838 0.5000 0.3733
Tb 0.9162 0.0000 0.6267
Ce 0.1981 0.5000 0.0753
Ce 0.3019 0.0000 0.9247
Ce 0.6981 0.0000 0.0753
Ce 0.8019 0.5000 0.9247
B 0.0799 0.5000 0.6326
B 0.4201 0.0000 0.3674
B 0.5799 0.0000 0.6326
B 0.9201 0.5000 0.3674

***

Question: Look up the magnetization of the ninth one.
Answer: 3.076 μB per cell

***

Question: DFT total energy of number 8 (CeSmB12)?
Answer: -97.61 eV per formula unit